# 1
Computed, not measured: a relaxed TbPm3YTm crystal at the PBE-GGA level of DFT.

Summary:
As for the raw total energy: -0.1819 hartree per atom. As for the space group: P2_1/m (11). The density of states at the Fermi level is 1.404 states/eV/atom. The crystal system is monoclinic.

Unit cell a=5.0969 b=8.0378 c=10.7717 alpha=116.55 beta=90.00 gamma=90.00
Element x y z (fractional)
Tb 0.7500 0.3725 0.8738
Pm 0.2500 0.6216 0.7915
Tb 0.2500 0.6275 0.1262
Y 0.7500 0.8767 0.7065
Pm 0.7500 0.3784 0.2085
Pm 0.7500 0.3725 0.5419
Y 0.2500 0.1233 0.2935
Tm 0.7500 0.8771 0.3767
Pm 0.7500 0.8746 0.0424
Pm 0.2500 0.6275 0.4581
Tm 0.2500 0.1229 0.6233
Pm 0.2500 0.1254 0.9576

***

# 2
Computed, not measured: a relaxed TbPm5Y2Tm crystal at the PBE-GGA level of DFT.

Summary:
As for the raw total energy: -0.1817 hartree per atom. As for the space group: Cmc2_1 (36). The density of states at the Fermi level is 1.619 states/eV/atom. The crystal system is orthorhombic.

Unit cell a=5.6700 b=10.5179 c=10.6452 alpha=90.00 beta=90.00 gamma=105.64
Element x y z (fractional)
Pm 0.3869 0.7739 0.0217
Y 0.1123 0.2247 0.7359
Pm 0.7023 0.4045 0.2061
Pm 0.7191 0.4383 0.8127
Pm 0.9819 0.9638 0.5188
Pm 0.5183 0.0366 0.2429
Tb 0.4098 0.8196 0.4606
Pm 0.2977 0.5955 0.7061
Pm 0.4817 0.9634 0.7429
Y 0.1151 0.2303 0.3146
Y 0.8877 0.7753 0.2359
Pm 0.2809 0.5617 0.3127
Tb 0.5902 0.1804 0.9606
Tm 0.8003 0.6006 0.5107
Pm 0.0181 0.0362 0.0188
Pm 0.6131 0.2261 0.5217
Tm 0.1997 0.3994 0.0107
Y 0.8849 0.7697 0.8146

***

# 3
Computed, not measured: a relaxed Tb2Pm6YTm crystal at the PBE-GGA level of DFT.

Summary:
As for the raw total energy: -0.1748 hartree per atom. As for the space group: C2/c (15). The density of states at the Fermi level is 1.350 states/eV/atom. The crystal system is monoclinic.

Unit cell a=9.6356 b=8.9432 c=8.9432 alpha=118.20 beta=93.76 gamma=93.76
Element x y z (fractional)
Pm 0.9462 0.8770 0.2403
Pm 0.8117 0.4334 0.9875
Tb 0.4556 0.7996 0.6963
Pm 0.1883 0.5666 0.0125
Tb 0.0444 0.3037 0.2004
Tb 0.5444 0.2004 0.3037
Y 0.2500 0.9754 0.0246
Pm 0.5538 0.7597 0.1230
Tb 0.9556 0.6963 0.7996
Tm 0.2500 0.4113 0.5887
Pm 0.6883 0.0125 0.5666
Pm 0.3117 0.9875 0.4334
Pm 0.1184 0.7108 0.4957
Y 0.7500 0.0246 0.9754
Tm 0.7500 0.5887 0.4113
Pm 0.8816 0.2892 0.5043
Pm 0.3816 0.5043 0.2892
Pm 0.6184 0.4957 0.7108
Pm 0.0538 0.1230 0.7597
Pm 0.4462 0.2403 0.8770

***

# 4
Computed, not measured: a relaxed Tb6Pm3Y2Tm crystal at the PBE-GGA level of DFT.

Summary:
As for the raw total energy: -0.1814 hartree per atom. As for the space group: C2/m (12). The density of states at the Fermi level is 1.357 states/eV/atom. The crystal system is monoclinic.

Unit cell a=6.2009 b=6.2009 c=11.8602 alpha=94.98 beta=94.98 gamma=119.97
Element x y z (fractional)
Tb 0.7504 0.7504 0.2472
Tb 0.0826 0.4149 0.2471
Y 0.3333 0.6667 0.0000
Tb 0.5851 0.9174 0.7529
Tb 0.4149 0.0826 0.2471
Pm 0.5000 0.5000 0.5000
Tb 0.2496 0.2496 0.7528
Y 0.6667 0.3333 0.0000
Pm 0.8335 0.1665 0.5000
Tb 0.9174 0.5851 0.7529
Tm 0.0000 0.0000 0.0000
Pm 0.1665 0.8335 0.5000

***

Density (g/cm3)
7.2 6.7 7.1 7.4